## Li2MgH6Pt (GGA-PBE)

Data for a relaxed Li2MgH6Pt crystal.

Cell lengths 5.126, 5.126, 5.126 Å; angles 60.00, 60.00, 60.00 degrees
Fractional coordinates of all 10 atoms:
1 H 0.237 0.763 0.237
2 H 0.237 0.763 0.763
3 H 0.763 0.763 0.237
4 H 0.763 0.237 0.763
5 H 0.237 0.237 0.763
6 H 0.763 0.237 0.237
7 Li 0.750 0.750 0.750
8 Li 0.250 0.250 0.250
9 Pt 0.000 0.000 0.000
10 Mg 0.500 0.500 0.500

Output
The value obtained for the total magnetization is 0.00 μB per atom. As for the space group: Fm-3m (225). For the total energy, the calculation gives -3.3277 eV per atom.

---

## Li2NiMoH6 (GGA-PBE)

Data for a relaxed Li2NiMoH6 crystal.

Cell lengths 4.882, 4.882, 4.882 Å; angles 60.00, 60.00, 60.00 degrees
Last column: magnetic moment on the atom in μB.
Fractional coordinates of all 10 atoms:
1 H 0.735 0.265 0.265  0.00
2 H 0.735 0.265 0.735  0.00
3 H 0.265 0.265 0.735  0.00
4 H 0.265 0.735 0.735  0.00
5 H 0.735 0.735 0.265  0.00
6 H 0.265 0.735 0.265  0.00
7 Li 0.250 0.250 0.250  0.03
8 Li 0.750 0.750 0.750  0.03
9 Mo 0.000 0.000 0.000  2.21
10 Ni 0.500 0.500 0.500  0.38

Output
The value obtained for the total magnetization is 0.32 μB per atom. As for the space group: Fm-3m (225). For the total energy, the calculation gives -3.9822 eV per atom.

---

## Li2MoH6Pd (GGA-PBE)

Data for a relaxed Li2MoH6Pd crystal.

Cell lengths 5.090, 5.090, 5.090 Å; angles 60.00, 60.00, 60.00 degrees
Last column: magnetic moment on the atom in μB.
Fractional coordinates of all 10 atoms:
1 H 0.255 0.745 0.255  0.00
2 H 0.255 0.255 0.745  0.00
3 H 0.745 0.745 0.255  0.00
4 H 0.745 0.255 0.255  0.00
5 H 0.255 0.745 0.745  0.00
6 H 0.745 0.255 0.745  0.00
7 Mo 0.000 0.000 0.000  2.32
8 Pd 0.500 0.500 0.500  0.18
9 Li 0.250 0.250 0.250  0.03
10 Li 0.750 0.750 0.750  0.03

Output
The value obtained for the total magnetization is 0.32 μB per atom. As for the space group: Fm-3m (225). For the total energy, the calculation gives -3.9455 eV per atom.

---

The lowest total magnetization belongs to which entry?
Li2MgH6Pt

---

Copy entry 2 word for word.
## Li2NiMoH6 (GGA-PBE)

Data for a relaxed Li2NiMoH6 crystal.

Cell lengths 4.882, 4.882, 4.882 Å; angles 60.00, 60.00, 60.00 degrees
Last column: magnetic moment on the atom in μB.
Fractional coordinates of all 10 atoms:
1 H 0.735 0.265 0.265  0.00
2 H 0.735 0.265 0.735  0.00
3 H 0.265 0.265 0.735  0.00
4 H 0.265 0.735 0.735  0.00
5 H 0.735 0.735 0.265  0.00
6 H 0.265 0.735 0.265  0.00
7 Li 0.250 0.250 0.250  0.03
8 Li 0.750 0.750 0.750  0.03
9 Mo 0.000 0.000 0.000  2.21
10 Ni 0.500 0.500 0.500  0.38

Output
The value obtained for the total magnetization is 0.32 μB per atom. As for the space group: Fm-3m (225). For the total energy, the calculation gives -3.9822 eV per atom.

---

Repeat the third record exactly.
## Li2MoH6Pd (GGA-PBE)

Data for a relaxed Li2MoH6Pd crystal.

Cell lengths 5.090, 5.090, 5.090 Å; angles 60.00, 60.00, 60.00 degrees
Last column: magnetic moment on the atom in μB.
Fractional coordinates of all 10 atoms:
1 H 0.255 0.745 0.255  0.00
2 H 0.255 0.255 0.745  0.00
3 H 0.745 0.745 0.255  0.00
4 H 0.745 0.255 0.255  0.00
5 H 0.255 0.745 0.745  0.00
6 H 0.745 0.255 0.745  0.00
7 Mo 0.000 0.000 0.000  2.32
8 Pd 0.500 0.500 0.500  0.18
9 Li 0.250 0.250 0.250  0.03
10 Li 0.750 0.750 0.750  0.03

Output
The value obtained for the total magnetization is 0.32 μB per atom. As for the space group: Fm-3m (225). For the total energy, the calculation gives -3.9455 eV per atom.

---

Copy entry 3 word for word.
## Li2MoH6Pd (GGA-PBE)

Data for a relaxed Li2MoH6Pd crystal.

Cell lengths 5.090, 5.090, 5.090 Å; angles 60.00, 60.00, 60.00 degrees
Last column: magnetic moment on the atom in μB.
Fractional coordinates of all 10 atoms:
1 H 0.255 0.745 0.255  0.00
2 H 0.255 0.255 0.745  0.00
3 H 0.745 0.745 0.255  0.00
4 H 0.745 0.255 0.255  0.00
5 H 0.255 0.745 0.745  0.00
6 H 0.745 0.255 0.745  0.00
7 Mo 0.000 0.000 0.000  2.32
8 Pd 0.500 0.500 0.500  0.18
9 Li 0.250 0.250 0.250  0.03
10 Li 0.750 0.750 0.750  0.03

Output
The value obtained for the total magnetization is 0.32 μB per atom. As for the space group: Fm-3m (225). For the total energy, the calculation gives -3.9455 eV per atom.